Version A
CoHSN | PBE-GGA | optimized geometry

Geometry as CIF:
```
data_CoHSN
_cell_length_a 5.787
_cell_length_b 2.767
_cell_length_c 5.915
_cell_angle_alpha 90.00
_cell_angle_beta 94.36
_cell_angle_gamma 90.00
_space_group_name_H-M_alt 'C 1 m 1'
_space_group_IT_number 8
_space_group_name_Hall 'C -2y'
loop_
_atom_site_label
_atom_site_fract_x
_atom_site_fract_y
_atom_site_fract_z
_atom_site_occupancy
Co1 0.000 0.000 0.000 1
H1 0.296 0.500 0.539 1
S1 0.020 0.000 0.627 1
N1 0.318 0.000 0.070 1
```

=====

Version B
CoHSN | PBE-GGA | optimized geometry

Geometry as CIF:
```
data_CoHSN
_cell_length_a 4.762
_cell_length_b 2.778
_cell_length_c 6.407
_cell_angle_alpha 90.00
_cell_angle_beta 103.48
_cell_angle_gamma 90.00
_space_group_name_H-M_alt 'C 1 m 1'
_space_group_IT_number 8
_space_group_name_Hall 'C -2y'
loop_
_atom_site_label
_atom_site_fract_x
_atom_site_fract_y
_atom_site_fract_z
_atom_site_occupancy
Co1 0.000 0.000 0.000 1
H1 0.213 0.500 0.149 1
S1 0.202 0.000 0.576 1
N1 0.286 0.000 0.845 1
```

=====

Version C
CoHSN | PBE-GGA | optimized geometry

Geometry as CIF:
```
data_CoHSN
_cell_length_a 3.186
_cell_length_b 4.052
_cell_length_c 4.261
_cell_angle_alpha 102.20
_cell_angle_beta 111.83
_cell_angle_gamma 90.00
_space_group_name_H-M_alt 'P 1'
_space_group_IT_number 1
_space_group_name_Hall 'P 1'
loop_
_atom_site_label
_atom_site_fract_x
_atom_site_fract_y
_atom_site_fract_z
_atom_site_occupancy
Co1 0.000 0.000 0.000 1
H1 0.811 0.852 0.620 1
S1 0.534 0.684 0.069 1
N1 0.503 0.285 0.006 1
```

=====

Which structure is the least stable? The one labeled version B.

=====

Version A
CoHSN | PBE-GGA | optimized geometry

Geometry as CIF:
```
data_CoHSN
_cell_length_a 2.713
_cell_length_b 3.562
_cell_length_c 5.573
_cell_angle_alpha 90.18
_cell_angle_beta 93.65
_cell_angle_gamma 112.28
_space_group_name_H-M_alt 'P 1'
_space_group_IT_number 1
_space_group_name_Hall 'P 1'
loop_
_atom_site_label
_atom_site_fract_x
_atom_site_fract_y
_atom_site_fract_z
_atom_site_occupancy
Co1 0.000 0.000 0.000 1
H1 0.372 0.655 0.315 1
S1 0.692 0.442 0.776 1
N1 0.467 0.882 0.191 1
```

=====

Version B
CoHSN | PBE-GGA | optimized geometry

Geometry as CIF:
```
data_CoHSN
_cell_length_a 5.059
_cell_length_b 2.920
_cell_length_c 5.989
_cell_angle_alpha 90.00
_cell_angle_beta 90.39
_cell_angle_gamma 90.00
_space_group_name_H-M_alt 'C 1 m 1'
_space_group_IT_number 8
_space_group_name_Hall 'C -2y'
loop_
_atom_site_label
_atom_site_fract_x
_atom_site_fract_y
_atom_site_fract_z
_atom_site_occupancy
Co1 0.000 0.000 0.000 1
H1 0.170 0.500 0.319 1
S1 0.331 0.000 0.734 1
N1 0.168 0.500 0.147 1
```

=====

Version C
CoHSN | PBE-GGA | optimized geometry

Geometry as CIF:
```
data_CoHSN
_cell_length_a 6.621
_cell_length_b 3.151
_cell_length_c 4.127
_cell_angle_alpha 90.00
_cell_angle_beta 110.54
_cell_angle_gamma 90.00
_space_group_name_H-M_alt 'C 1 m 1'
_space_group_IT_number 8
_space_group_name_Hall 'C -2y'
loop_
_atom_site_label
_atom_site_fract_x
_atom_site_fract_y
_atom_site_fract_z
_atom_site_occupancy
Co1 0.000 0.000 0.000 1
H1 0.318 0.000 0.294 1
S1 0.118 0.500 0.744 1
N1 0.478 0.000 0.300 1
```

=====

Version D
CoHSN | PBE-GGA | optimized geometry

Geometry as CIF:
```
data_CoHSN
_cell_length_a 3.336
_cell_length_b 3.332
_cell_length_c 9.109
_cell_angle_alpha 90.00
_cell_angle_beta 90.00
_cell_angle_gamma 90.00
_space_group_name_H-M_alt 'A m m 2'
_space_group_IT_number 38
_space_group_name_Hall 'A 2 -2'
loop_
_atom_site_label
_atom_site_fract_x
_atom_site_fract_y
_atom_site_fract_z
_atom_site_occupancy
Co1 0.000 0.000 0.000 1
H1 0.500 0.000 0.996 1
S1 0.000 0.000 0.358 1
N1 0.000 0.000 0.193 1
```

=====

Which structure is the least stable? The one labeled version D.

=====

Version A
CoHSN | PBE-GGA | optimized geometry

Geometry as CIF:
```
data_CoHSN
_cell_length_a 6.059
_cell_length_b 3.187
_cell_length_c 4.294
_cell_angle_alpha 90.00
_cell_angle_beta 108.45
_cell_angle_gamma 90.00
_space_group_name_H-M_alt 'C 1 m 1'
_space_group_IT_number 8
_space_group_name_Hall 'C -2y'
loop_
_atom_site_label
_atom_site_fract_x
_atom_site_fract_y
_atom_site_fract_z
_atom_site_occupancy
Co1 0.000 0.000 0.000 1
H1 0.245 0.000 0.643 1
S1 0.381 0.000 0.240 1
N1 0.418 0.000 0.656 1
```

=====

Version B
CoHSN | PBE-GGA | optimized geometry

Geometry as CIF:
```
data_CoHSN
_cell_length_a 3.189
_cell_length_b 3.578
_cell_length_c 4.926
_cell_angle_alpha 90.00
_cell_angle_beta 95.59
_cell_angle_gamma 90.00
_space_group_name_H-M_alt 'P 1 m 1'
_space_group_IT_number 6
_space_group_name_Hall 'P -2y'
loop_
_atom_site_label
_atom_site_fract_x
_atom_site_fract_y
_atom_site_fract_z
_atom_site_occupancy
Co1 0.000 0.000 0.000 1
H1 0.412 0.500 0.381 1
S1 0.006 0.500 0.257 1
N1 0.477 0.000 0.870 1
```

=====

Version C
CoHSN | PBE-GGA | optimized geometry

Geometry as CIF:
```
data_CoHSN
_cell_length_a 3.287
_cell_length_b 3.363
_cell_length_c 4.519
_cell_angle_alpha 71.57
_cell_angle_beta 68.80
_cell_angle_gamma 61.85
_space_group_name_H-M_alt 'P 1'
_space_group_IT_number 1
_space_group_name_Hall 'P 1'
loop_
_atom_site_label
_atom_site_fract_x
_atom_site_fract_y
_atom_site_fract_z
_atom_site_occupancy
Co1 0.000 0.000 0.000 1
H1 0.551 0.512 0.494 1
S1 0.605 0.882 0.518 1
N1 0.697 0.685 0.902 1
```

=====

Version D
CoHSN | PBE-GGA | optimized geometry

Geometry as CIF:
```
data_CoHSN
_cell_length_a 6.297
_cell_length_b 3.090
_cell_length_c 5.151
_cell_angle_alpha 90.00
_cell_angle_beta 109.12
_cell_angle_gamma 90.00
_space_group_name_H-M_alt 'C 1 m 1'
_space_group_IT_number 8
_space_group_name_Hall 'C -2y'
loop_
_atom_site_label
_atom_site_fract_x
_atom_site_fract_y
_atom_site_fract_z
_atom_site_occupancy
Co1 0.000 0.000 0.000 1
H1 0.085 0.000 0.309 1
S1 0.478 0.000 0.684 1
N1 0.187 0.500 0.986 1
```

=====

Which structure is the least stable? The one labeled version D.

=====

Version A
CoHSeN2 | PBE-GGA | optimized geometry

Geometry as CIF:
```
data_CoHSeN2
_cell_length_a 3.716
_cell_length_b 3.716
_cell_length_c 3.304
_cell_angle_alpha 90.00
_cell_angle_beta 90.00
_cell_angle_gamma 90.00
_space_group_name_H-M_alt 'P 4/m m m'
_space_group_IT_number 123
_space_group_name_Hall '-P 4 2'
loop_
_atom_site_label
_atom_site_fract_x
_atom_site_fract_y
_atom_site_fract_z
_atom_site_occupancy
Co1 0.000 0.000 0.000 1
H1 0.500 0.500 0.500 1
Se1 0.500 0.500 0.000 1
N1 0.000 0.500 0.500 1
```

=====

Version B
CoHSeN2 | PBE-GGA | optimized geometry

Geometry as CIF:
```
data_CoHSeN2
_cell_length_a 3.471
_cell_length_b 3.471
_cell_length_c 5.200
_cell_angle_alpha 90.00
_cell_angle_beta 90.00
_cell_angle_gamma 90.00
_space_group_name_H-M_alt 'P 4/m m m'
_space_group_IT_number 123
_space_group_name_Hall '-P 4 2'
loop_
_atom_site_label
_atom_site_fract_x
_atom_site_fract_y
_atom_site_fract_z
_atom_site_occupancy
Co1 0.000 0.000 0.000 1
H1 0.500 0.500 0.500 1
Se1 0.000 0.000 0.500 1
N1 0.000 0.500 0.000 1
```

=====

Which structure is the least stable? The one labeled version A.

=====

Version A
NaCoH2 | PBE-GGA | optimized geometry

Geometry as CIF:
```
data_NaCoH2
_cell_length_a 4.957
_cell_length_b 4.957
_cell_length_c 6.362
_cell_angle_alpha 90.00
_cell_angle_beta 90.00
_cell_angle_gamma 90.00
_space_group_name_H-M_alt 'I -4 2 d'
_space_group_IT_number 122
_space_group_name_Hall 'I -4 2bw'
loop_
_atom_site_label
_atom_site_fract_x
_atom_site_fract_y
_atom_site_fract_z
_atom_site_occupancy
Na1 0.000 0.000 0.000 1
Co1 0.000 0.000 0.500 1
H1 0.146 0.250 0.625 1
```

=====

Version B
NaCoH2 | PBE-GGA | optimized geometry

Geometry as CIF:
```
data_NaCoH2
_cell_length_a 5.256
_cell_length_b 5.256
_cell_length_c 5.256
_cell_angle_alpha 90.00
_cell_angle_beta 90.00
_cell_angle_gamma 90.00
_space_group_name_H-M_alt 'F m -3 m'
_space_group_IT_number 225
_space_group_name_Hall '-F 4 2 3'
loop_
_atom_site_label
_atom_site_fract_x
_atom_site_fract_y
_atom_site_fract_z
_atom_site_occupancy
Na1 0.000 0.000 0.000 1
Co1 0.000 0.000 0.500 1
H1 0.250 0.250 0.250 1
```

=====

Which structure is the least stable? The one labeled version B.

=====

Version A
Na3CoH | PBE-GGA | optimized geometry

Geometry as CIF:
```
data_Na3CoH
_cell_length_a 5.458
_cell_length_b 5.458
_cell_length_c 5.458
_cell_angle_alpha 90.00
_cell_angle_beta 90.00
_cell_angle_gamma 90.00
_space_group_name_H-M_alt 'P m -3 m'
_space_group_IT_number 221
_space_group_name_Hall '-P 4 2 3'
loop_
_atom_site_label
_atom_site_fract_x
_atom_site_fract_y
_atom_site_fract_z
_atom_site_occupancy
Na1 0.000 0.000 0.500 1
Co1 0.000 0.000 0.000 1
H1 0.500 0.500 0.500 1
```

=====

Version B
Na3CoH | PBE-GGA | optimized geometry

Geometry as CIF:
```
data_Na3CoH
_cell_length_a 4.697
_cell_length_b 4.697
_cell_length_c 4.697
_cell_angle_alpha 90.00
_cell_angle_beta 90.00
_cell_angle_gamma 90.00
_space_group_name_H-M_alt 'P m -3 m'
_space_group_IT_number 221
_space_group_name_Hall '-P 4 2 3'
loop_
_atom_site_label
_atom_site_fract_x
_atom_site_fract_y
_atom_site_fract_z
_atom_site_occupancy
Na1 0.000 0.000 0.500 1
Co1 0.500 0.500 0.500 1
H1 0.000 0.000 0.000 1
```

=====

Which structure is the least stable? The one labeled version A.